# 1
! Ni12Pt2Rh5 | Alexandria via LeMat-Bulk | PBE-GGA | optimized geometry; values from VASP
&SYSTEM
  ibrav = 0, nat = 19, ntyp = 3
/
ATOMIC_SPECIES
Rh 102.91 Rh.upf
Ni 58.69 Ni.upf
Pt 195.08 Pt.upf
CELL_PARAMETERS angstrom
-4.4827 0.5012 0.6318
-0.7345 -2.7032 7.1168
-0.0763 5.5830 5.2292
ATOMIC_POSITIONS crystal
Rh 0.1302 0.6662 0.6663
Rh 0.5652 0.7818 0.7818
Rh 0.4348 0.2182 0.2182
Rh 0.8698 0.3338 0.3337
Rh 0.5000 0.0000 0.0000
Ni 0.2957 0.4462 0.4462
Ni 0.4217 0.8464 0.3551
Ni 0.2063 0.5510 0.0347
Ni 0.0091 0.8796 0.8796
Ni 0.4216 0.3551 0.8464
Ni 0.5784 0.6449 0.1536
Ni 0.2063 0.0347 0.5510
Ni 0.7043 0.5538 0.5538
Ni 0.7937 0.4490 0.9653
Ni 0.7937 0.9653 0.4490
Ni 0.5783 0.1536 0.6449
Ni 0.9909 0.1204 0.1204
Pt 0.0000 0.2436 0.7565
Pt 0.0000 0.7564 0.2435
! total energy	-6.1173	eV/atom
! DFT formation energy	1.986	eV/f.u.
! symmetry	C2/m (12)
! Fermi-level density of states	33.01	states/eV/f.u.

=====

# 2
! CuB2Pd | Alexandria via LeMat-Bulk | PBE-GGA | optimized geometry; values from VASP
&SYSTEM
  ibrav = 0, nat = 8, ntyp = 3
/
ATOMIC_SPECIES
B 10.81 B.upf
Cu 63.55 Cu.upf
Pd 106.42 Pd.upf
CELL_PARAMETERS angstrom
-3.7963 -2.6006 -1.1201
2.8305 -3.5354 -1.3852
-0.5586 -4.8518 3.1455
ATOMIC_POSITIONS crystal
B 0.6203 0.1250 0.2500
B 0.1297 0.6250 0.2500
B 0.8750 0.8703 0.7500
B 0.3750 0.3797 0.7500
Cu 0.5000 0.5000 0.0000
Cu 0.2500 0.7500 0.5000
Pd 0.0000 0.0000 0.0000
Pd 0.7500 0.2500 0.5000
! total energy	-4.8522	eV/atom
! DFT formation energy	3.235	eV/f.u.
! energy above the lowest structure with this stoichiometry	142.0	meV per atom
! symmetry	I-42d (122)
! Fermi-level density of states	1.68	states/eV/f.u.

=====

# 3
! Na2Mg | Alexandria via LeMat-Bulk | PBE-GGA | optimized geometry; values from VASP
&SYSTEM
  ibrav = 0, nat = 12, ntyp = 2
/
ATOMIC_SPECIES
Mg 24.30 Mg.upf
Na 22.99 Na.upf
CELL_PARAMETERS angstrom
-10.1108 -3.0606 11.4422
-4.5599 -7.0181 13.1328
8.6572 7.6958 -10.4089
ATOMIC_POSITIONS crystal
Mg 0.3387 0.8387 0.5000
Mg 0.1613 0.6613 0.5000
Mg 0.9113 0.9113 0.0000
Mg 0.0887 0.0887 0.0000
Na 0.4153 0.4153 0.0000
Na 0.8347 0.3347 0.5000
Na 0.6653 0.1653 0.5000
Na 0.0006 0.5006 0.5000
Na 0.4994 0.9994 0.5000
Na 0.2494 0.2494 0.0000
Na 0.5847 0.5847 0.0000
Na 0.7506 0.7506 0.0000
! total energy	-1.3184	eV/atom
! DFT formation energy	0.278	eV/f.u.
! symmetry	I4_1/amd (141)
! Fermi-level density of states	1.16	states/eV/f.u.

=====

# 4
! Mo2PSe | Alexandria via LeMat-Bulk | PBE-GGA | optimized geometry; values from VASP
&SYSTEM
  ibrav = 0, nat = 4, ntyp = 3
/
ATOMIC_SPECIES
Se 78.96 Se.upf
Mo 95.94 Mo.upf
P 30.97 P.upf
CELL_PARAMETERS angstrom
3.0806 0.0000 0.0000
0.0000 3.0806 0.0000
0.0000 0.0000 6.2620
ATOMIC_POSITIONS crystal
Se 0.5000 0.5000 0.5000
Mo 0.0000 0.0000 0.7788
Mo 0.0000 0.0000 0.2212
P 0.5000 0.5000 0.0000
! total energy	-7.7988	eV/atom
! energy above the lowest structure with this stoichiometry	121.9	meV per atom
! raw formation energy	-160	meV/atom
! symmetry	P4/mmm (123)
! Fermi-level density of states	3.37	states/eV/f.u.

=====

# 5
! YMoOs2 | Alexandria via LeMat-Bulk | PBE-GGA | optimized geometry; values from VASP
&SYSTEM
  ibrav = 0, nat = 4, ntyp = 3
/
ATOMIC_SPECIES
Os 190.23 Os.upf
Y 88.91 Y.upf
Mo 95.94 Mo.upf
CELL_PARAMETERS angstrom
-0.8067 -2.6517 -0.6116
2.0374 -0.1656 -1.9693
5.5454 -3.0699 5.9956
ATOMIC_POSITIONS crystal
Os 0.0000 0.0000 0.0220
Os 0.5000 0.5000 0.2123
Y 0.0000 0.0000 0.4866
Mo 0.5000 0.5000 0.7790
! total energy	-9.6399	eV/atom
! DFT formation energy	1.195	eV/f.u.
! energy above the lowest structure with this stoichiometry	224.5	meV per atom
! symmetry	P4mm (99)
! Fermi-level density of states	3.39	states/eV/f.u.

=====

# 6
! CaMg2Ni | Alexandria via LeMat-Bulk | PBE-GGA | optimized geometry; values from VASP
&SYSTEM
  ibrav = 0, nat = 4, ntyp = 3
/
ATOMIC_SPECIES
Mg 24.30 Mg.upf
Ca 40.08 Ca.upf
Ni 58.69 Ni.upf
CELL_PARAMETERS angstrom
9.3340 -0.0456 -0.0269
8.7152 3.3424 -0.0269
8.7152 1.5919 2.9391
ATOMIC_POSITIONS crystal
Mg 0.5228 0.5228 0.5228
Mg 0.9772 0.9772 0.9772
Ca 0.7500 0.7500 0.7500
Ni 0.2500 0.2500 0.2500
! total energy	-2.5730	eV/atom
! DFT formation energy	0.680	eV/f.u.
! symmetry	R-3m (166)
! Fermi-level density of states	2.43	states/eV/f.u.

=====

# 7
! Mn3ZnPd6 | Alexandria via LeMat-Bulk | PBE-GGA | optimized geometry; values from VASP
&SYSTEM
  ibrav = 0, nat = 20, ntyp = 3
/
ATOMIC_SPECIES
Pd 106.42 Pd.upf
Mn 54.94 Mn.upf
Zn 65.41 Zn.upf
CELL_PARAMETERS angstrom
4.5036 0.0000 0.0000
0.0000 6.9627 -2.5135
0.0000 -0.0756 9.6246
ATOMIC_POSITIONS crystal
Pd 0.2500 0.4634 0.0812
Pd 0.7500 0.8454 0.8224
Pd 0.2500 0.1546 0.1776
Pd 0.7500 0.5366 0.9188
Pd 0.2500 0.2509 0.4919
Pd 0.2500 0.0708 0.8710
Pd 0.2500 0.8494 0.2950
Pd 0.7500 0.9292 0.1290
Pd 0.7500 0.7491 0.5081
Pd 0.2500 0.6587 0.6794
Pd 0.7500 0.1506 0.7050
Pd 0.7500 0.3413 0.3206
Mn 0.7500 0.6327 0.2145
Mn 0.2500 0.7785 0.9854
Mn 0.7500 0.2215 0.0146
Mn 0.2500 0.3673 0.7855
Mn 0.2500 0.5407 0.3828
Mn 0.7500 0.4593 0.6172
Zn 0.2500 0.9545 0.5859
Zn 0.7500 0.0455 0.4141
! total energy	-6.2771	eV/atom
! DFT formation energy	-2.832	eV/f.u.
! symmetry	P2_1/m (11)
! Fermi-level density of states	4.82	states/eV/f.u.

=====

# 8
! CsYbS2 | Alexandria via LeMat-Bulk | PBE-GGA | optimized geometry; values from VASP
&SYSTEM
  ibrav = 0, nat = 4, ntyp = 3
/
ATOMIC_SPECIES
S 32.06 S.upf
Cs 132.91 Cs.upf
Yb 173.04 Yb.upf
CELL_PARAMETERS angstrom
-3.6239 -2.2256 0.4709
-0.5446 -3.6750 -2.1217
1.7888 -5.8801 5.4137
ATOMIC_POSITIONS crystal
S 0.2263 0.2263 0.3211
S 0.7737 0.7737 0.6789
Cs 0.0000 0.0000 0.0000
Yb 0.5000 0.5000 0.5000
! total energy	-3.9378	eV/atom
! raw formation energy	-1279	meV/atom
! symmetry	R-3m (166)
! Fermi-level density of states	4.53	states/eV/f.u.

=====

# 9
! Sc2NbPdAu | Alexandria via LeMat-Bulk | PBE-GGA | optimized geometry; values from VASP
&SYSTEM
  ibrav = 0, nat = 5, ntyp = 4
/
ATOMIC_SPECIES
Au 196.97 Au.upf
Pd 106.42 Pd.upf
Sc 44.96 Sc.upf
Nb 92.91 Nb.upf
CELL_PARAMETERS angstrom
-1.7024 1.3977 4.4475
-0.6400 -4.6699 1.2226
4.6161 -0.1571 1.8163
ATOMIC_POSITIONS crystal
Au 0.5000 0.5000 0.5000
Pd 0.0000 0.0000 0.0000
Sc 0.0000 0.0000 0.5000
Sc 0.5000 0.0000 0.0000
Nb 0.0000 0.5000 0.0000
! total energy	-5.9020	eV/atom
! DFT formation energy	1.693	eV/f.u.
! symmetry	P4/mmm (123)
! Fermi-level density of states	8.08	states/eV/f.u.

=====

# 10
! SrZrPb2 | Alexandria via LeMat-Bulk | PBE-GGA | optimized geometry; values from VASP
&SYSTEM
  ibrav = 0, nat = 4, ntyp = 3
/
ATOMIC_SPECIES
Pb 207.20 Pb.upf
Sr 87.62 Sr.upf
Zr 91.22 Zr.upf
CELL_PARAMETERS angstrom
-1.2022 -0.7960 6.1838
-1.4365 -3.9319 4.7745
5.5548 -0.4831 0.1512
ATOMIC_POSITIONS crystal
Pb 0.7658 0.7658 0.6503
Pb 0.9799 0.9799 0.0981
Sr 0.5068 0.5068 0.6056
Zr 0.2474 0.2474 0.1461
! total energy	-4.5276	eV/atom
! DFT formation energy	-0.464	eV/f.u.
! symmetry	Cm (8)
! Fermi-level density of states	2.42	states/eV/f.u.

=====

# 11
! CsYIn3 | Alexandria via LeMat-Bulk | PBE-GGA | optimized geometry; values from VASP
&SYSTEM
  ibrav = 0, nat = 5, ntyp = 3
/
ATOMIC_SPECIES
In 114.82 In.upf
Cs 132.91 Cs.upf
Y 88.91 Y.upf
CELL_PARAMETERS angstrom
-0.0743 1.1718 5.9025
-5.6493 -2.0471 0.3353
2.0731 -5.5366 1.1253
ATOMIC_POSITIONS crystal
In 0.5000 0.0000 0.0000
In 0.0000 0.0000 0.5000
In 0.0000 0.5000 0.0000
Cs 0.0000 0.0000 0.0000
Y 0.5000 0.5000 0.5000
! total energy	-1.9980	eV/atom
! DFT formation energy	5.543	eV/f.u.
! energy above the lowest structure with this stoichiometry	894.8	meV per atom
! symmetry	Pm-3m (221)
! Fermi-level density of states	6.82	states/eV/f.u.

=====

# 12
! LiThNp2S4 | Alexandria via LeMat-Bulk | PBE-GGA | optimized geometry; values from VASP
&SYSTEM
  ibrav = 0, nat = 8, ntyp = 4
/
ATOMIC_SPECIES
S 32.06 S.upf
Np 237.00 Np.upf
Th 232.04 Th.upf
Li 6.94 Li.upf
CELL_PARAMETERS angstrom
-0.6347 -2.0169 -3.3113
5.8805 2.3247 -2.5431
1.1462 -5.8497 3.3433
ATOMIC_POSITIONS crystal
S 0.5000 0.2623 0.2536
S 0.0000 0.2580 0.7524
S 0.0000 0.7420 0.2476
S 0.5000 0.7377 0.7464
Np 0.5000 0.0000 0.5000
Np 0.0000 0.5000 0.5000
Th 0.0000 0.0000 0.0000
Li 0.5000 0.5000 0.0000
! total energy	-7.9536	eV/atom
! raw formation energy	-1488	meV/atom
! symmetry	P2/m (10)
! Fermi-level density of states	17.86	states/eV/f.u.

=====

# 13
! Nb7Os2C2 | Alexandria via LeMat-Bulk | PBE-GGA | optimized geometry; values from VASP
&SYSTEM
  ibrav = 0, nat = 11, ntyp = 3
/
ATOMIC_SPECIES
Os 190.23 Os.upf
Nb 92.91 Nb.upf
C 12.01 C.upf
CELL_PARAMETERS angstrom
3.0128 0.0000 0.0000
1.5064 8.1117 0.2035
1.5064 4.0253 7.0454
ATOMIC_POSITIONS crystal
Os 0.0000 0.7529 0.2471
Os 0.5000 0.3454 0.6546
Nb 0.8413 0.4128 0.9046
Nb 0.6336 0.4571 0.2757
Nb 0.8170 0.0887 0.2773
Nb 0.3664 0.7243 0.5429
Nb 0.1587 0.0954 0.5872
Nb 0.5000 0.0292 0.9708
Nb 0.1830 0.7227 0.9113
C 0.7495 0.8632 0.6378
C 0.2505 0.3622 0.1368
! total energy	-10.1636	eV/atom
! DFT formation energy	-0.404	eV/f.u.
! symmetry	Imm2 (44)
! Fermi-level density of states	8.32	states/eV/f.u.

=====

# 14
! AgHgPb2Au | Alexandria via LeMat-Bulk | PBE-GGA | optimized geometry; values from VASP
&SYSTEM
  ibrav = 0, nat = 5, ntyp = 4
/
ATOMIC_SPECIES
Pb 207.20 Pb.upf
Hg 200.59 Hg.upf
Ag 107.87 Ag.upf
Au 196.97 Au.upf
CELL_PARAMETERS angstrom
-4.6905 2.5853 -1.0557
-1.5902 -4.0605 -2.8783
-2.2446 -2.2625 4.4320
ATOMIC_POSITIONS crystal
Pb 0.5000 0.0000 0.0000
Pb 0.0000 0.0000 0.5000
Hg 0.5000 0.5000 0.5000
Ag 0.0000 0.0000 0.0000
Au 0.0000 0.5000 0.0000
! total energy	-2.4024	eV/atom
! DFT formation energy	1.835	eV/f.u.
! symmetry	P4/mmm (123)
! Fermi-level density of states	1.68	states/eV/f.u.

=====

# 15
! YNi2P | Alexandria via LeMat-Bulk | PBE-GGA | optimized geometry; values from VASP
&SYSTEM
  ibrav = 0, nat = 4, ntyp = 3
/
ATOMIC_SPECIES
P 30.97 P.upf
Ni 58.69 Ni.upf
Y 88.91 Y.upf
CELL_PARAMETERS angstrom
-1.5707 -2.9074 1.7118
3.1635 -0.6128 1.8620
-1.4910 2.8489 3.4706
ATOMIC_POSITIONS crystal
P 0.0000 0.0000 0.4294
Ni 0.0000 0.5000 0.1833
Ni 0.5000 0.0000 0.1833
Y 0.5000 0.5000 0.7087
! total energy	-6.5043	eV/atom
! DFT formation energy	-2.581	eV/f.u.
! symmetry	P4mm (99)
! Fermi-level density of states	4.14	states/eV/f.u.